(1)
5
Lattice="5.1416 0.0000 0.0000 0.0000 5.7180 0.0000 0.0000 0.0000 5.1416" Properties=species:S:1:pos:R:3 comment="GGA-PBE LaAlGePd2, relaxed" final_energy_ev_per_atom=-3.92 magnetic_moment_mub_per_fu=0.00 delta_e_f_ev_per_atom=0.817 pbc="T T T"
Al 2.5708 2.8590 2.5708
Pd 0.0000 0.0000 2.5708
Ge 0.0000 2.8590 0.0000
Pd 2.5708 0.0000 0.0000
La 0.0000 0.0000 0.0000


(2)
8
Lattice="4.3484 0.0000 0.0000 2.1742 3.7658 0.0000 2.1742 1.2553 8.8601" Properties=species:S:1:pos:R:3 comment="GGA-PBE LaAlGe2Pd4, relaxed" final_energy_ev_per_atom=-5.55 magnetic_moment_mub_per_fu=0.00 delta_e_f_ev_per_atom=-0.713 pbc="T T T"
Pd 6.5226 3.7658 3.6776
Pd 4.3484 2.5105 6.8815
Pd 2.1742 1.2553 5.1824
Ge 6.5226 3.7658 6.6359
Al 4.3484 2.5105 4.4300
Ge 2.1742 1.2553 2.2242
La 0.0000 0.0000 0.0000
Pd 4.3484 2.5106 1.9786


(3)
10
Lattice="4.4217 0.0000 0.0000 0.0000 4.4217 0.0000 0.0000 0.0000 10.2747" Properties=species:S:1:pos:R:3 comment="GGA-PBE La2Al4GePd3, relaxed" final_energy_ev_per_atom=-5.30 magnetic_moment_mub_per_fu=0.00 delta_e_f_ev_per_atom=-0.799 pbc="T T T"
Al 0.0000 2.2108 3.7476
Al 2.2108 2.2108 0.0000
Pd 0.0000 2.2108 1.2806
La 0.0000 2.2108 7.6833
Ge 2.2108 2.2108 5.1374
Pd 2.2108 0.0000 8.9942
La 2.2108 0.0000 2.5915
Al 2.2108 0.0000 6.5272
Pd 0.0000 0.0000 5.1374
Al 0.0000 0.0000 0.0000